Record 1
VASP calculation (PBE-GGA) on crystalline Pm2Sm12Y at its relaxed geometry.

Cell lengths 6.7995, 6.7995, 24.9934 Å; angles 90.00, 90.00, 63.67 degrees
Last column: nearest neighbours and their distance in Å.
Sites, in units of the cell vectors:
Pm  0.5000  0.0000  0.2725  2 Pm 3.59, 8 Sm 3.66-3.86
Pm  0.0000  0.5000  0.2662  2 Pm 3.59, 10 Sm 3.72-3.90
Pm  0.0000  0.5000  0.7275  2 Pm 3.59, 8 Sm 3.66-3.86
Pm  0.5000  0.0000  0.7338  2 Pm 3.59, 10 Sm 3.72-3.90
Sm  0.5000  0.5000  0.8007  5 Sm 3.18-3.56
Sm  0.0000  0.0000  0.8007  5 Sm 3.18-3.56
Sm  0.7513  0.7487  0.8722  8 Sm 3.40-3.64, 2 Y 3.65-3.67
Sm  0.2511  0.7511  0.9237  2 Y 3.46-3.47, 9 Sm 3.56-3.82
Sm  0.0000  0.0000  0.3266  3 Sm 3.18-3.36
Sm  0.2489  0.7489  0.0763  2 Y 3.46-3.47, 9 Sm 3.56-3.82
Sm  0.7727  0.2727  0.5600  5 Sm 3.05-3.36
Sm  0.5000  0.5000  0.3266  3 Sm 3.18-3.36
Sm  0.2487  0.2513  0.8722  8 Sm 3.40-3.64, 2 Y 3.65-3.67
Sm  0.7487  0.7513  0.1278  8 Sm 3.40-3.64, 2 Y 3.65-3.67
Sm  0.2685  0.2315  0.5832  7 Sm 3.31-3.67
Sm  0.7273  0.2273  0.4400  5 Sm 3.05-3.36
Sm  0.0000  0.0000  0.6734  3 Sm 3.18-3.36
Sm  0.2315  0.2685  0.4168  7 Sm 3.31-3.67
Sm  0.2513  0.2487  0.1278  8 Sm 3.40-3.64, 2 Y 3.65-3.67
Sm  0.7685  0.7315  0.4168  7 Sm 3.31-3.67
Sm  0.7315  0.7685  0.5832  7 Sm 3.31-3.67
Sm  0.0000  0.0000  0.1993  5 Sm 3.18-3.56
Sm  0.2273  0.7273  0.5600  5 Sm 3.05-3.36
Sm  0.5000  0.5000  0.6734  3 Sm 3.18-3.36
Sm  0.7489  0.2489  0.9237  2 Y 3.46-3.47, 9 Sm 3.56-3.82
Sm  0.5000  0.5000  0.1993  5 Sm 3.18-3.56
Sm  0.2727  0.7727  0.4400  5 Sm 3.05-3.36
Sm  0.7511  0.2511  0.0763  2 Y 3.46-3.47, 9 Sm 3.56-3.82
Y  0.5000  0.0000  0.0003  8 Sm 3.46-3.67, 2 Y 3.59
Y  0.0000  0.5000  0.9997  8 Sm 3.46-3.67, 2 Y 3.59

Summary:
calculated formation energy	156	meV/atom
raw total energy	-4.6838	eV per atom

=====

Record 2
VASP calculation (PBE-GGA) on crystalline ZnCd2As at its relaxed geometry.

Cell lengths 2.9711, 3.8712, 7.1880 Å; angles 90.00, 90.00, 90.00 degrees
Last column: nearest neighbours and their distance in Å.
Sites, in units of the cell vectors:
As  0.5000  0.5000  0.7084  4 Zn 2.76, 2 As 2.97
Cd  0.0000  0.0000  0.9919  6 Cd 2.97-3.16, 4 As 3.18
Cd  0.5000  0.5000  0.2717  6 Cd 2.97-3.16, 4 Zn 3.06, 1 As 3.14
Zn  0.0000  0.0000  0.5279  4 As 2.76, 2 Zn 2.97, 4 Cd 3.06

Summary:
calculated formation energy	118	meV/atom
raw total energy	-1.8207	eV per atom

=====

Record 3
VASP calculation (PBE-GGA) on crystalline Pr7PtS5 at its relaxed geometry.

Cell lengths 4.0488, 7.0802, 24.7018 Å; angles 90.00, 90.00, 106.69 degrees
Last column: nearest neighbours and their distance in Å.
Sites, in units of the cell vectors:
Pr  0.4610  0.9216  0.2500  2 S 2.91, 2 Pt 2.96
Pr  0.5396  0.0796  0.7500  2 S 2.91, 2 Pt 2.96
Pr  0.6379  0.2751  0.0362  6 S 2.88-2.91
Pr  0.3627  0.7261  0.9638  6 S 2.88-2.91
Pr  0.3626  0.7259  0.5362  6 S 2.88-2.91
Pr  0.6379  0.2750  0.4638  6 S 2.88-2.91
Pr  0.1921  0.3849  0.1770  3 S 2.84-2.93, 2 Pt 3.09
Pr  0.8085  0.6163  0.8230  3 S 2.84-2.94, 2 Pt 3.09
Pr  0.8084  0.6161  0.6770  3 S 2.84-2.93, 2 Pt 3.09
Pr  0.1922  0.3849  0.3230  3 S 2.84-2.93, 2 Pt 3.09
Pr  0.9132  0.8260  0.1058  5 S 2.87-2.89
Pr  0.0874  0.1752  0.8943  5 S 2.87-2.89
Pr  0.0873  0.1750  0.6057  5 S 2.87-2.89
Pr  0.9132  0.8260  0.3942  5 S 2.87-2.89
Pt  0.8013  0.6026  0.2500  6 Pr 2.96-3.09
Pt  0.1993  0.3986  0.7500  6 Pr 2.96-3.09
S  0.0003  0.0006  0.0000  6 Pr 2.87-2.89
S  0.7255  0.4517  0.9289  6 Pr 2.84-2.91
S  0.2751  0.5495  0.0711  6 Pr 2.84-2.91
S  0.5495  0.0983  0.3572  6 Pr 2.89-2.93
S  0.4510  0.9028  0.6427  6 Pr 2.89-2.93
S  0.0002  0.0005  0.5000  6 Pr 2.87-2.89
S  0.2751  0.5495  0.4288  6 Pr 2.84-2.91
S  0.7254  0.4515  0.5711  6 Pr 2.84-2.91
S  0.4511  0.9030  0.8573  6 Pr 2.89-2.94
S  0.5495  0.0983  0.1427  6 Pr 2.89-2.93

Summary:
raw total energy	-6.3412	eV per atom
E_form (uncorrected)	-22.30	eV per formula unit

=====

> What is the formula in the first record?

Pm2Sm12Y